1.
VASP calculation (PBE) on a geometry-optimized CoAg2Se structure.

a = 3.0720 Å, b = 3.5886 Å, c = 12.9967 Å
α = 90.00°, β = 90.00°, γ = 90.00°
With the nearest neighbours (Å) after each atom.
Space group Immm (No. 71)
One atom of each set of equivalent atoms:
Co 0.0000 0.0000 0.0000  4 Se 2.36
Ag 0.0000 0.5000 0.3153  2 Co 2.85, 6 Ag 2.91-3.07, 2 Se 3.00
Se 0.0000 0.0000 0.5000  4 Co 2.36

Properties
**E_form (uncorrected)**: 0.23 eV per atom
**DOS(E_F)**: 0.843 states/eV/atom
**Energy**: -3.84 eV per atom

2.
VASP calculation (PBE) on a geometry-optimized CoAgSe2 structure.

a = 7.6314 Å, b = 7.6314 Å, c = 5.4547 Å
α = 90.00°, β = 90.00°, γ = 90.00°
With the nearest neighbours (Å) after each atom.
Space group I4/mcm (No. 140)
One atom of each set of equivalent atoms:
Co 0.0000 0.5000 0.2500  4 Se 2.27
Ag 0.0000 0.0000 0.2500  2 Ag 2.73
Se 0.1682 0.3318 0.0000  2 Co 2.27

Properties
**E_form (uncorrected)**: 0.02 eV per atom
**DOS(E_F)**: 0.840 states/eV/atom
**Energy**: -4.21 eV per atom

3.
VASP calculation (PBE) on a geometry-optimized CoAgSe2 structure.

a = 3.1141 Å, b = 22.0717 Å, c = 4.5413 Å
α = 90.00°, β = 90.00°, γ = 90.00°
With the nearest neighbours (Å) after each atom.
Space group Cmcm (No. 63)
One atom of each set of equivalent atoms:
Co 0.0000 0.0636 0.2500  4 Se 2.32-2.34
Ag 0.0000 0.3078 0.2500  5 Se 2.80-3.05, 2 Ag 3.11
Se 0.0000 0.0422 0.7500  3 Co 2.32-2.34
Se 0.0000 0.1698 0.2500  1 Co 2.34

Properties
**E_form (uncorrected)**: 0.09 eV per atom
**DOS(E_F)**: 0.575 states/eV/atom
**Energy**: -4.14 eV per atom

4.
VASP calculation (PBE) on a geometry-optimized CoAg2Se structure.

a = 3.8717 Å, b = 3.8717 Å, c = 9.0872 Å
α = 90.00°, β = 90.00°, γ = 90.00°
With the nearest neighbours (Å) after each atom.
Space group I4/mmm (No. 139)
One atom of each set of equivalent atoms:
Co 0.0000 0.0000 0.0000  4 Se 2.74, 8 Ag 2.98
Ag 0.0000 0.5000 0.2500  4 Ag 2.74, 4 Se 2.98, 4 Co 2.98
Se 0.0000 0.0000 0.5000  4 Co 2.74, 8 Ag 2.98

Properties
**E_form (uncorrected)**: 0.38 eV per atom
**DOS(E_F)**: 1.363 states/eV/atom
**Energy**: -3.69 eV per atom

5.
VASP calculation (PBE) on a geometry-optimized CoAgSe2 structure.

a = 7.6049 Å, b = 12.2817 Å, c = 13.4762 Å
α = 90.00°, β = 99.93°, γ = 90.00°
With the nearest neighbours (Å) after each atom.
Space group C2/c (No. 15)
One atom of each set of equivalent atoms:
Co 0.0123 0.1942 0.3446  5 Se 2.33-2.44, 1 Co 2.53
Co 0.2174 0.4414 0.1712  5 Se 2.33-2.45
Ag 0.0509 0.1234 0.9528  3 Se 2.70-2.94, 2 Co 2.75-2.98, 2 Ag 2.92-2.96
Ag 0.1554 0.3323 0.8778  3 Se 2.62-2.64, 1 Co 2.84, 1 Ag 2.92
Se 0.0000 0.0243 0.2500  4 Co 2.44-2.45
Se 0.0000 0.4790 0.7500  2 Co 2.33
Se 0.0263 0.3375 0.0475  2 Co 2.33-2.38
Se 0.2170 0.0755 0.4469  2 Co 2.39-2.40
Se 0.2341 0.2796 0.2649  3 Co 2.35-2.42, 1 Ag 2.62

Properties
**E_form (uncorrected)**: -0.07 eV per atom
**DOS(E_F)**: 0.702 states/eV/atom
**Energy**: -4.30 eV per atom

6.
VASP calculation (PBE) on a geometry-optimized Co3AgSe structure.

a = 4.6782 Å, b = 4.6782 Å, c = 4.6782 Å
α = 90.00°, β = 90.00°, γ = 90.00°
With the nearest neighbours (Å) after each atom.
Space group Pm-3m (No. 221)
One atom of each set of equivalent atoms:
Co 0.0000 0.0000 0.5000  2 Ag 2.34
Ag 0.0000 0.0000 0.0000  6 Co 2.34
Se 0.5000 0.5000 0.5000  12 Co 3.31

Properties
**E_form (uncorrected)**: 1.60 eV per atom
**DOS(E_F)**: 2.035 states/eV/atom
**Energy**: -3.93 eV per atom

7.
VASP calculation (PBE) on a geometry-optimized CoAgSe2 structure.

a = 3.5192 Å, b = 3.5192 Å, c = 7.2089 Å
α = 90.00°, β = 90.00°, γ = 120.00°
With the nearest neighbours (Å) after each atom.
Space group P3m1 (No. 156)
One atom of each set of equivalent atoms:
Co 0.0000 0.0000 0.0000  6 Se 2.36-2.42
Ag 0.3333 0.6667 0.4748  1 Se 2.59
Se 0.3333 0.6667 0.8335  3 Co 2.36, 1 Ag 2.59
Se 0.6667 0.3333 0.1831  3 Co 2.42

Properties
**E_form (uncorrected)**: -0.14 eV per atom
**DOS(E_F)**: 0.238 states/eV/atom
**Energy**: -4.38 eV per atom

8.
VASP calculation (PBE) on a geometry-optimized CoAg2Se structure.

a = 4.1141 Å, b = 4.1141 Å, c = 7.9823 Å
α = 90.00°, β = 90.00°, γ = 90.00°
With the nearest neighbours (Å) after each atom.
Space group I-4m2 (No. 119)
One atom of each set of equivalent atoms:
Co 0.0000 0.0000 0.0000  4 Se 2.87, 8 Ag 2.87-2.91
Ag 0.0000 0.0000 0.5000  4 Se 2.87, 4 Ag 2.87, 4 Co 2.91
Ag 0.0000 0.5000 0.2500  4 Co 2.87, 4 Ag 2.87, 4 Se 2.91
Se 0.0000 0.5000 0.7500  4 Co 2.87, 8 Ag 2.87-2.91

Properties
**E_form (uncorrected)**: 0.39 eV per atom
**DOS(E_F)**: 1.191 states/eV/atom
**Energy**: -3.68 eV per atom

9.
VASP calculation (PBE) on a geometry-optimized CoAgSe2 structure.

a = 2.9495 Å, b = 2.9495 Å, c = 8.6394 Å
α = 90.00°, β = 90.00°, γ = 90.00°
With the nearest neighbours (Å) after each atom.
Space group P4mm (No. 99)
One atom of each set of equivalent atoms:
Co 0.0000 0.0000 0.0000  4 Se 2.35
Ag 0.5000 0.5000 0.7665  4 Co 2.90, 4 Ag 2.95, 5 Se 3.00-3.11
Se 0.0000 0.0000 0.5175  4 Se 2.95, 4 Ag 3.00
Se 0.5000 0.5000 0.1262  4 Co 2.35

Properties
**E_form (uncorrected)**: 0.08 eV per atom
**DOS(E_F)**: 0.624 states/eV/atom
**Energy**: -4.15 eV per atom

10.
VASP calculation (PBE) on a geometry-optimized CoAg4Se structure.

a = 7.7181 Å, b = 7.7181 Å, c = 7.7181 Å
α = 90.00°, β = 90.00°, γ = 90.00°
With the nearest neighbours (Å) after each atom.
Space group F-43m (No. 216)
One atom of each set of equivalent atoms:
Co 0.0000 0.0000 0.0000  12 Ag 3.20, 4 Se 3.34
Ag 0.1256 0.1256 0.3744  6 Ag 2.72-2.74
Se 0.2500 0.2500 0.7500  12 Ag 3.20, 4 Co 3.34

Properties
**E_form (uncorrected)**: 0.54 eV per atom
**DOS(E_F)**: 1.179 states/eV/atom
**Energy**: -3.13 eV per atom

11.
VASP calculation (PBE) on a geometry-optimized CoAg2Se structure.

a = 3.8824 Å, b = 3.9134 Å, c = 4.4729 Å
α = 90.00°, β = 90.00°, γ = 90.00°
With the nearest neighbours (Å) after each atom.
Space group Pmmm (No. 47)
One atom of each set of equivalent atoms:
Co 0.0000 0.0000 0.0000  4 Se 2.76, 8 Ag 2.96-2.97
Ag 0.0000 0.5000 0.5000  4 Ag 2.76, 4 Se 2.96, 4 Co 2.97
Ag 0.5000 0.0000 0.5000  4 Ag 2.76, 4 Co 2.96, 4 Se 2.97
Se 0.5000 0.5000 0.0000  4 Co 2.76, 8 Ag 2.96-2.97

Properties
**E_form (uncorrected)**: 0.34 eV per atom
**DOS(E_F)**: 1.043 states/eV/atom
**Energy**: -3.73 eV per atom

12.
VASP calculation (PBE) on a geometry-optimized CoAg2Se structure.

a = 5.4498 Å, b = 3.1444 Å, c = 8.3716 Å
α = 90.00°, β = 90.03°, γ = 90.00°
With the nearest neighbours (Å) after each atom.
Space group Cm (No. 8)
One atom of each set of equivalent atoms:
Co 0.0000 0.0000 0.0000  3 Se 2.23
Ag 0.1655 0.5000 0.4827  1 Se 2.75, 3 Ag 2.90
Ag 0.3327 0.0000 0.7533  3 Co 2.75, 3 Ag 2.90
Se 0.1669 0.5000 0.1546  3 Co 2.23

Properties
**E_form (uncorrected)**: 0.08 eV per atom
**DOS(E_F)**: 0.565 states/eV/atom
**Energy**: -4.00 eV per atom

13.
VASP calculation (PBE) on a geometry-optimized CoAgSe2 structure.

a = 6.4878 Å, b = 6.5031 Å, c = 3.2443 Å
α = 90.00°, β = 90.00°, γ = 90.00°
With the nearest neighbours (Å) after each atom.
Space group Cmmm (No. 65)
One atom of each set of equivalent atoms:
Co 0.0000 0.0000 0.0000  8 Se 2.81
Ag 0.0000 0.5000 0.0000  8 Se 2.81
Se 0.2500 0.2500 0.5000  4 Co 2.81, 4 Ag 2.81

Properties
**E_form (uncorrected)**: 0.41 eV per atom
**DOS(E_F)**: 1.262 states/eV/atom
**Energy**: -3.82 eV per atom

14.
VASP calculation (PBE) on a geometry-optimized CoAg2Se structure.

a = 3.9487 Å, b = 2.9762 Å, c = 6.5385 Å
α = 90.00°, β = 107.38°, γ = 90.00°
With the nearest neighbours (Å) after each atom.
Space group Pm (No. 6)
One atom of each set of equivalent atoms:
Co 0.0000 0.0000 0.0000  2 Se 2.26
Ag 0.2179 0.0000 0.4388  1 Co 2.74, 6 Ag 2.94-2.98, 4 Se 3.06
Ag 0.5909 0.5000 0.1837  4 Co 2.73, 6 Ag 2.94-2.98
Se 0.8625 0.5000 0.7277  2 Co 2.26

Properties
**E_form (uncorrected)**: 0.21 eV per atom
**DOS(E_F)**: 1.145 states/eV/atom
**Energy**: -3.86 eV per atom

15.
VASP calculation (PBE) on a geometry-optimized CoAgSe2 structure.

a = 7.8934 Å, b = 3.3256 Å, c = 12.8579 Å
α = 90.00°, β = 90.00°, γ = 90.00°
With the nearest neighbours (Å) after each atom.
Space group Pnma (No. 62)
One atom of each set of equivalent atoms:
Co 0.0380 0.2500 0.0776  5 Se 2.28-2.36
Ag 0.9999 0.2500 0.5964  2 Se 2.57-2.61
Se 0.1698 0.2500 0.9194  3 Co 2.28-2.34
Se 0.1948 0.7500 0.1657  2 Co 2.36, 1 Ag 2.57

Properties
**E_form (uncorrected)**: -0.10 eV per atom
**DOS(E_F)**: 0.619 states/eV/atom
**Energy**: -4.33 eV per atom

16.
VASP calculation (PBE) on a geometry-optimized CoAg2Se structure.

a = 5.4197 Å, b = 9.1013 Å, c = 2.7822 Å
α = 90.00°, β = 90.00°, γ = 90.00°
With the nearest neighbours (Å) after each atom.
Space group Cmmm (No. 65)
One atom of each set of equivalent atoms:
Co 0.0000 0.0000 0.0000  2 Se 2.71, 2 Co 2.78, 8 Ag 2.99
Ag 0.2500 0.2500 0.5000  4 Ag 2.71-2.78, 4 Se 2.99, 4 Co 2.99
Se 0.0000 0.5000 0.0000  2 Co 2.71, 2 Se 2.78, 8 Ag 2.99

Properties
**E_form (uncorrected)**: 0.44 eV per atom
**DOS(E_F)**: 1.196 states/eV/atom
**Energy**: -3.63 eV per atom

17.
VASP calculation (PBE) on a geometry-optimized CoAg2Se structure.

a = 3.0736 Å, b = 4.9438 Å, c = 4.5188 Å
α = 90.00°, β = 91.05°, γ = 90.00°
With the nearest neighbours (Å) after each atom.
Space group P2/m (No. 10)
One atom of each set of equivalent atoms:
Co 0.0000 0.0000 0.0000  4 Se 2.71-2.76, 4 Ag 2.82
Ag 0.2535 0.5000 0.7556  4 Ag 2.66-2.79, 2 Co 2.82, 2 Se 2.84
Se 0.5000 0.0000 0.5000  4 Co 2.71-2.76, 4 Ag 2.84

Properties
**E_form (uncorrected)**: 0.41 eV per atom
**DOS(E_F)**: 1.356 states/eV/atom
**Energy**: -3.67 eV per atom

18.
VASP calculation (PBE) on a geometry-optimized CoAgSe2 structure.

a = 6.0585 Å, b = 3.7369 Å, c = 13.0348 Å
α = 90.00°, β = 90.00°, γ = 90.00°
With the nearest neighbours (Å) after each atom.
Space group Pnma (No. 62)
One atom of each set of equivalent atoms:
Co 0.0462 0.2500 0.1152  5 Se 2.37-2.49
Ag 0.2080 0.7500 0.3489  6 Se 2.73-3.04, 2 Co 2.81
Se 0.0960 0.7500 0.7094  2 Co 2.44-2.49, 2 Ag 2.73
Se 0.1957 0.7500 0.0274  3 Co 2.37

Properties
**E_form (uncorrected)**: -0.01 eV per atom
**DOS(E_F)**: 0.750 states/eV/atom
**Energy**: -4.25 eV per atom

19.
VASP calculation (PBE) on a geometry-optimized CoAgSe2 structure.

a = 3.5453 Å, b = 3.5453 Å, c = 15.0155 Å
α = 90.00°, β = 90.00°, γ = 120.00°
With the nearest neighbours (Å) after each atom.
Space group P6_3/mmc (No. 194)
One atom of each set of equivalent atoms:
Co 0.0000 0.0000 0.0000  6 Se 2.38
Ag 0.3333 0.6667 0.2500  2 Se 2.54
Se 0.3333 0.6667 0.0807  3 Co 2.38, 1 Ag 2.54

Properties
**E_form (uncorrected)**: -0.19 eV per atom
**DOS(E_F)**: 0.343 states/eV/atom
**Energy**: -4.42 eV per atom

20.
VASP calculation (PBE) on a geometry-optimized CoAg3Se structure.

a = 4.9964 Å, b = 4.9964 Å, c = 4.9964 Å
α = 90.00°, β = 90.00°, γ = 90.00°
With the nearest neighbours (Å) after each atom.
Space group Pm-3m (No. 221)
One atom of each set of equivalent atoms:
Co 0.0000 0.0000 0.0000  12 Ag 3.53
Ag 0.0000 0.5000 0.5000  2 Se 2.50
Se 0.5000 0.5000 0.5000  6 Ag 2.50

Properties
**E_form (uncorrected)**: 0.95 eV per atom
**DOS(E_F)**: 0.215 states/eV/atom
**Energy above the lowest structure with this stoichiometry**: 46.7 meV/atom
**Energy**: -2.88 eV per atom